Record 1
A plane-wave DFT calculation with PBE was carried out for Tb3TeCl2O6 after structural relaxation.

Computed properties:
- Uncorrected energy: -77.46 eV/cell
- Raw formation energy: -26.98 eV per formula unit
- Density of states at the Fermi level: 0.1050 states/eV per atom

abc: 6.7767 6.7767 5.5006
angles: 98.76 98.76 58.92
Atoms (fractional coordinates):
Tb (0.0000, 0.0000, 0.0000)
Tb (0.0000, 0.5000, 0.5000)
Tb (0.5000, 0.0000, 0.5000)
Te (0.5000, 0.5000, 0.5000)
Cl (0.2033, 0.2033, 0.8484)
Cl (0.7967, 0.7967, 0.1516)
O (0.1936, 0.6825, 0.7051)
O (0.3175, 0.8064, 0.2949)
O (0.3317, 0.3317, 0.3292)
O (0.6683, 0.6683, 0.6708)
O (0.6825, 0.1936, 0.7051)
O (0.8064, 0.3175, 0.2949)

---

Record 2
A plane-wave DFT calculation with PBE was carried out for TbTeClO4 after structural relaxation.

Computed properties:
- Uncorrected energy: -83.65 eV/cell
- Raw formation energy: -12.38 eV per formula unit

abc: 6.3263 6.3263 7.0091
angles: 102.81 102.81 70.47
Atoms (fractional coordinates):
Tb (0.2216, 0.2216, 0.1170)
Tb (0.7784, 0.7784, 0.8830)
Te (0.3620, 0.3620, 0.7231)
Te (0.6380, 0.6380, 0.2769)
Cl (0.0160, 0.0160, 0.7740)
Cl (0.9840, 0.9840, 0.2260)
O (0.1196, 0.4901, 0.8634)
O (0.2678, 0.2678, 0.4633)
O (0.4562, 0.4562, 0.2355)
O (0.4901, 0.1196, 0.8634)
O (0.5099, 0.8804, 0.1366)
O (0.5438, 0.5438, 0.7645)
O (0.7322, 0.7322, 0.5367)
O (0.8804, 0.5099, 0.1366)

---

Record 3
A plane-wave DFT calculation with PBE was carried out for Tb3UCl2O6 after structural relaxation.

Computed properties:
- Uncorrected energy: -94.54 eV/cell
- Raw formation energy: -35.92 eV per formula unit
- Density of states at the Fermi level: 0.0363 states/eV per atom

abc: 6.9630 6.9630 5.4473
angles: 100.24 100.24 58.37
Atoms (fractional coordinates):
Tb (0.0000, 0.0000, 0.0000)
Tb (0.0000, 0.5000, 0.5000)
Tb (0.5000, 0.0000, 0.5000)
U (0.5000, 0.5000, 0.5000)
Cl (0.1965, 0.1965, 0.8388)
Cl (0.8035, 0.8035, 0.1612)
O (0.1864, 0.6819, 0.7077)
O (0.3181, 0.8136, 0.2923)
O (0.3263, 0.3263, 0.3354)
O (0.6737, 0.6737, 0.6646)
O (0.6819, 0.1864, 0.7077)
O (0.8136, 0.3181, 0.2923)